# 1
! NbNF2 (GGA-PBE, optimized geometry); values from VASP
&SYSTEM
  ibrav = 0, nat = 4, ntyp = 3
/
ATOMIC_SPECIES
Nb 92.91 Nb.upf
N 14.01 N.upf
F 19.00 F.upf
CELL_PARAMETERS angstrom
1.6660 0.0000 9.1197
-0.8330 1.4428 9.1197
-0.8330 -1.4428 9.1197
ATOMIC_POSITIONS crystal
Nb 0.5000 0.5000 0.5000
N 0.0000 0.0000 0.0000
F 0.8880 0.8880 0.8880
F 0.1120 0.1120 0.1120
! **Calculated volume**: 16.44 A^3/atom
! **Energy relative to the elements, uncorrected**: -108 kJ/mol of formula units
! **Calculated total energy**: -5.815 eV per atom
! **Excess energy over the best structure of this formula in the dataset**: 262 meV per atom
! **Density of states at the Fermi level**: 1.4 states/eV per cell



# 2
! KCdSbH (GGA-PBE, optimized geometry); values from VASP
&SYSTEM
  ibrav = 0, nat = 4, ntyp = 4
/
ATOMIC_SPECIES
K 39.10 K.upf
Cd 112.41 Cd.upf
Sb 121.76 Sb.upf
H 1.01 H.upf
CELL_PARAMETERS angstrom
-0.5662 -3.3277 -0.8602
3.3926 0.4125 3.2244
-5.5257 -0.1540 4.2330
ATOMIC_POSITIONS crystal
K 0.5664 0.1327 0.3466
Cd 0.2195 0.4391 0.9454
Sb 0.9110 0.8220 0.7355
H 0.2575 0.5149 0.2115
! **Calculated volume**: 26.07 A^3/atom
! **Calculated total energy**: -2.522 eV per atom
! **Density of states at the Fermi level**: 1.6 states/eV per cell



# 3
! Ca6Hg2O (GGA-PBE, optimized geometry); values from VASP
&SYSTEM
  ibrav = 0, nat = 18, ntyp = 3
/
ATOMIC_SPECIES
Ca 40.08 Ca.upf
Hg 200.59 Hg.upf
O 16.00 O.upf
CELL_PARAMETERS angstrom
7.0173 0.0000 -0.3637
0.0000 7.2254 0.0000
0.3667 0.0000 10.0049
ATOMIC_POSITIONS crystal
Ca 0.9245 0.9901 0.2608
Ca 0.8076 0.7160 0.5372
Ca 0.7852 0.6957 0.9617
Ca 0.7148 0.1957 0.5383
Ca 0.6924 0.2160 0.9628
Ca 0.5755 0.4901 0.2392
Ca 0.0755 0.0099 0.7392
Ca 0.1924 0.2840 0.4628
Ca 0.2148 0.3043 0.0383
Ca 0.2852 0.8043 0.4617
Ca 0.3076 0.7840 0.0372
Ca 0.4245 0.5099 0.7608
Hg 0.9836 0.4419 0.7505
Hg 0.5164 0.9419 0.7495
Hg 0.4836 0.0581 0.2505
Hg 0.0164 0.5581 0.2495
O 0.5000 0.5000 0.0000
O 0.0000 0.0000 0.5000
! **Calculated volume**: 28.24 A^3/atom
! **Energy relative to the elements, uncorrected**: -759 kJ/mol of formula units
! **Calculated total energy**: -2.826 eV per atom
! **Density of states at the Fermi level**: 16.0 states/eV per cell



# 4
! CaOs3N (GGA-PBE, optimized geometry); values from VASP
&SYSTEM
  ibrav = 0, nat = 5, ntyp = 3
/
ATOMIC_SPECIES
Ca 40.08 Ca.upf
Os 190.23 Os.upf
N 14.01 N.upf
CELL_PARAMETERS angstrom
-4.3390 -1.7563 -0.9903
-0.6668 -0.9676 4.6380
-1.9028 4.3441 0.6327
ATOMIC_POSITIONS crystal
Ca 0.0000 0.0000 0.0000
Os 0.0000 0.5000 0.0000
Os 0.0000 0.0000 0.5000
Os 0.5000 0.0000 0.0000
N 0.5000 0.5000 0.5000
! **Calculated volume**: 21.91 A^3/atom
! **Energy relative to the elements, uncorrected**: 2160 kJ/mol of formula units
! **Calculated total energy**: -4.326 eV per atom
! **Excess energy over the best structure of this formula in the dataset**: 3883 meV per atom
! **Density of states at the Fermi level**: 8.1 states/eV per cell



# 5
! Sr2Li2LaSn2 (GGA-PBE, optimized geometry); values from VASP
&SYSTEM
  ibrav = 0, nat = 7, ntyp = 4
/
ATOMIC_SPECIES
Sr 87.62 Sr.upf
Li 6.94 Li.upf
La 138.91 La.upf
Sn 118.71 Sn.upf
CELL_PARAMETERS angstrom
-2.9241 -1.5029 3.6139
1.9187 -1.4389 4.2565
-0.9861 9.5589 6.4798
ATOMIC_POSITIONS crystal
Sr 0.1165 0.1165 0.6506
Sr 0.8835 0.8835 0.3494
Li 0.6157 0.6157 0.1529
Li 0.3843 0.3843 0.8471
La 0.0000 0.0000 0.0000
Sn 0.7226 0.7226 0.8323
Sn 0.2774 0.2774 0.1677
! **Calculated volume**: 33.20 A^3/atom
! **Calculated total energy**: -3.398 eV per atom
! **Density of states at the Fermi level**: 2.5 states/eV per cell



# 6
! Ag3TeCl6 (GGA-PBE, optimized geometry); values from VASP
&SYSTEM
  ibrav = 0, nat = 20, ntyp = 3
/
ATOMIC_SPECIES
Ag 107.87 Ag.upf
Te 127.60 Te.upf
Cl 35.45 Cl.upf
CELL_PARAMETERS angstrom
-6.8382 0.2398 -1.4088
1.0215 -3.9252 -5.6265
-0.8965 -9.0186 6.1290
ATOMIC_POSITIONS crystal
Ag 0.4687 0.9735 0.7481
Ag 0.5000 0.5000 0.0000
Ag 0.5313 0.0265 0.2519
Ag 0.9687 0.5265 0.2481
Ag 0.0000 0.0000 0.5000
Ag 0.0313 0.4735 0.7519
Te 0.5000 0.5000 0.5000
Te 0.0000 0.0000 0.0000
Cl 0.6870 0.1636 0.9116
Cl 0.6424 0.1770 0.5709
Cl 0.6177 0.3873 0.2169
Cl 0.3823 0.6127 0.7831
Cl 0.3576 0.8230 0.4291
Cl 0.3130 0.8364 0.0884
Cl 0.1870 0.3364 0.4116
Cl 0.1424 0.3230 0.0709
Cl 0.1177 0.1127 0.7169
Cl 0.8823 0.8873 0.2831
Cl 0.8576 0.6770 0.9291
Cl 0.8130 0.6636 0.5884
! **Calculated volume**: 26.46 A^3/atom
! **Energy relative to the elements, uncorrected**: -401 kJ/mol of formula units
! **Calculated total energy**: -2.693 eV per atom
! **Density of states at the Fermi level**: 3.9 states/eV per cell